Record 1
! PmB4Rh4 GGA-PBE optimized geometry; values from VASP
&SYSTEM
  ibrav = 0, nat = 18, ntyp = 3
/
ATOMIC_SPECIES
Pm 145.00 Pm.upf
B 10.81 B.upf
Rh 102.91 Rh.upf
CELL_PARAMETERS angstrom
7.5596 0.0000 0.0000
0.0000 7.5596 0.0000
0.0000 0.0000 4.0243
ATOMIC_POSITIONS crystal
Pm 0.2500 0.2500 0.2500
Pm 0.7500 0.7500 0.7500
B 0.0381 0.9121 0.1410
B 0.0879 0.5381 0.6410
B 0.4121 0.9619 0.6410
B 0.4619 0.5879 0.1410
B 0.5381 0.4121 0.8590
B 0.5879 0.0381 0.3590
B 0.9121 0.4619 0.3590
B 0.9619 0.0879 0.8590
Rh 0.0940 0.6388 0.1402
Rh 0.1388 0.9060 0.6402
Rh 0.3612 0.5940 0.6402
Rh 0.4060 0.8612 0.1402
Rh 0.5940 0.1388 0.8598
Rh 0.6388 0.4060 0.3598
Rh 0.8612 0.0940 0.3598
Rh 0.9060 0.3612 0.8598
! - Energy above the most stable polymorph in this dataset: 0.000 eV per atom
! - Energy of formation from the pure elements: -0.585 eV per atom
! - Size of the total moment: 0.000 μB/atom

Record 2
! Pm2Y6Er3Th GGA-PBE optimized geometry; values from VASP
&SYSTEM
  ibrav = 0, nat = 12, ntyp = 4
/
ATOMIC_SPECIES
Pm 145.00 Pm.upf
Y 88.91 Y.upf
Er 167.26 Er.upf
Th 232.04 Th.upf
CELL_PARAMETERS angstrom
3.0993 -5.3620 0.0000
3.0993 5.3620 0.0000
-2.0630 0.0000 11.6293
ATOMIC_POSITIONS crystal
Pm 0.1666 0.8334 0.0000
Pm 0.8334 0.1666 0.0000
Y 0.0853 0.4152 0.7485
Y 0.2551 0.2551 0.2517
Y 0.4152 0.0853 0.7485
Y 0.5848 0.9147 0.2515
Y 0.7449 0.7449 0.7483
Y 0.9147 0.5848 0.2515
Er 0.0000 0.0000 0.5000
Er 0.3329 0.6671 0.5000
Er 0.6671 0.3329 0.5000
Th 0.5000 0.5000 0.0000
! - Energy of formation from the pure elements: 0.032 eV per atom
! - Size of the total moment: 0.000 μB/atom

Record 3
! Tb8GaSe6 GGA-PBE optimized geometry; values from VASP
&SYSTEM
  ibrav = 0, nat = 15, ntyp = 3
/
ATOMIC_SPECIES
Tb 158.93 Tb.upf
Ga 69.72 Ga.upf
Se 78.96 Se.upf
CELL_PARAMETERS angstrom
10.5302 0.0000 0.0000
-5.2651 9.1194 0.0000
0.0000 0.0000 4.0696
ATOMIC_POSITIONS crystal
Tb 0.0331 0.7191 0.2524
Tb 0.2809 0.3140 0.2524
Tb 0.3140 0.0331 0.7476
Tb 0.3333 0.6667 0.7482
Tb 0.6667 0.3333 0.2518
Tb 0.6860 0.9669 0.2524
Tb 0.7191 0.6860 0.7476
Tb 0.9669 0.2809 0.7476
Ga 0.0000 0.0000 0.5000
Se 0.1304 0.4820 0.2506
Se 0.3516 0.8696 0.2506
Se 0.4820 0.3516 0.7494
Se 0.5180 0.6484 0.2506
Se 0.6484 0.1304 0.7494
Se 0.8696 0.5180 0.7494
! - Formation energy without anion corrections: -126.0 kJ per mole of atoms
! - Size of the total moment: 0.000 μB/atom

Record 4
! LiSm2P2N6 GGA-PBE optimized geometry; values from VASP
&SYSTEM
  ibrav = 0, nat = 11, ntyp = 4
/
ATOMIC_SPECIES
Li 6.94 Li.upf
Sm 150.36 Sm.upf
P 30.97 P.upf
N 14.01 N.upf
CELL_PARAMETERS angstrom
2.7327 1.5777 5.6545
-2.7327 1.5777 5.6545
0.0000 -3.1555 5.6545
ATOMIC_POSITIONS crystal
Li 0.0000 0.0000 0.0000
Sm 0.2045 0.2045 0.2045
Sm 0.7955 0.7955 0.7955
P 0.4221 0.4221 0.4221
P 0.5779 0.5779 0.5779
N 0.2440 0.7424 0.7424
N 0.2576 0.2576 0.7560
N 0.2576 0.7560 0.2576
N 0.7424 0.2440 0.7424
N 0.7424 0.7424 0.2440
N 0.7560 0.2576 0.2576
! - Formation energy without anion corrections: -56.8 kJ per mole of atoms
! - Size of the total moment: 0.000 μB/atom